DFT (PBE) results for a relaxed structure of Na3Sr3WS8.

Calculated values
Calculated volume: 397 Å³ per cell
Uncorrected formation energy: -1.204 eV/atom

a b c (Å): 8.1913 8.1913 8.1913
angles (deg): 60.99 60.99 60.99
Last column: nearest neighbours and their distance in Å.
Element x y z (fractional)
1 Na 0.0000 0.5000 0.5000  6 S 2.91-2.93
2 Na 0.5000 0.0000 0.5000  6 S 2.91-2.93
3 Na 0.5000 0.5000 0.0000  6 S 2.91-2.93
4 Sr 0.0000 0.0000 0.5000  6 S 2.93-2.99
5 Sr 0.0000 0.5000 0.0000  6 S 2.93-2.99
6 Sr 0.5000 0.0000 0.0000  6 S 2.93-2.99
7 W 0.5000 0.5000 0.5000  6 S 2.42
8 S 0.2506 0.2506 0.2506  3 Na 2.91, 3 Sr 2.93
9 S 0.2925 0.2925 0.7038  1 W 2.42
10 S 0.2925 0.7038 0.2925  1 W 2.42
11 S 0.2962 0.7075 0.7075  1 W 2.42
12 S 0.7038 0.2925 0.2925  1 W 2.42
13 S 0.7075 0.2962 0.7075  1 W 2.42
14 S 0.7075 0.7075 0.2962  1 W 2.42
15 S 0.7494 0.7494 0.7494  3 Na 2.91, 3 Sr 2.93


DFT (PBE) results for a relaxed structure of CeScPa.

Calculated values
Calculated volume: 152 Å³ per cell
Calculated formation energy: 0.08 eV/atom

a b c (Å): 3.1753 3.1753 15.0925
angles (deg): 90.00 90.00 90.00
Last column: nearest neighbours and their distance in Å.
Element x y z (fractional)
1 Ce 0.0000 0.0000 0.0000  4 Ce 3.18, 4 Pa 3.31, 4 Sc 3.53
2 Ce 0.5000 0.5000 0.5000  4 Ce 3.18, 4 Pa 3.31, 4 Sc 3.53
3 Sc 0.0000 0.0000 0.6807  4 Sc 3.18, 4 Pa 3.28, 4 Ce 3.53
4 Sc 0.5000 0.5000 0.1807  4 Sc 3.18, 4 Pa 3.28, 4 Ce 3.53
5 Pa 0.0000 0.0000 0.3387  4 Pa 3.18, 4 Sc 3.28, 4 Ce 3.31
6 Pa 0.5000 0.5000 0.8387  4 Pa 3.18, 4 Sc 3.28, 4 Ce 3.31


DFT (PBE) results for a relaxed structure of Ac4Ag2Sn.

Calculated values
Calculated volume: 499 Å³ per cell
Calculated formation energy: -0.30 eV/atom

a b c (Å): 8.6635 8.6635 8.6635
angles (deg): 107.81 107.81 112.84
Last column: nearest neighbours and their distance in Å.
Element x y z (fractional)
1 Ac 0.1171 0.5028 0.7409  2 Ag 3.17-3.30, 2 Sn 3.40-3.54
2 Ac 0.1262 0.0120 0.7591  2 Ag 3.17-3.30, 2 Sn 3.40-3.54
3 Ac 0.2528 0.3671 0.2409  2 Ag 3.17-3.30, 2 Sn 3.40-3.54
4 Ac 0.4972 0.2380 0.6142  2 Ag 3.17-3.30, 2 Sn 3.40-3.54
5 Ac 0.6238 0.8829 0.3858  2 Ag 3.17-3.30, 2 Sn 3.40-3.54
6 Ac 0.6329 0.8738 0.8858  2 Ag 3.17-3.30, 2 Sn 3.40-3.54
7 Ac 0.7620 0.3762 0.2591  2 Ag 3.17-3.30, 2 Sn 3.40-3.54
8 Ac 0.9880 0.7472 0.1142  2 Ag 3.17-3.30, 2 Sn 3.40-3.54
9 Ag 0.0026 0.1250 0.3776  4 Ac 3.17-3.30
10 Ag 0.3750 0.9974 0.1224  4 Ac 3.17-3.30
11 Ag 0.7474 0.6250 0.6224  4 Ac 3.17-3.30
12 Ag 0.8750 0.2526 0.8776  4 Ac 3.17-3.30
13 Sn 0.2500 0.7500 0.5000  8 Ac 3.40-3.54
14 Sn 0.5000 0.5000 0.0000  8 Ac 3.40-3.54


DFT (PBE) results for a relaxed structure of CaInTe3.

Calculated values
Calculated volume: 185 Å³ per cell
Uncorrected formation energy: -0.218 eV/atom

a b c (Å): 5.6939 5.6939 5.6939
angles (deg): 90.00 90.00 90.00
Last column: nearest neighbours and their distance in Å.
Element x y z (fractional)
1 Ca 0.0000 0.0000 0.0000  12 Te 4.03
2 In 0.5000 0.5000 0.5000  6 Te 2.85
3 Te 0.0000 0.5000 0.5000  2 In 2.85
4 Te 0.5000 0.0000 0.5000  2 In 2.85
5 Te 0.5000 0.5000 0.0000  2 In 2.85


DFT (PBE) results for a relaxed structure of CaSiAs.

Calculated values
Calculated volume: 283 Å³ per cell
Uncorrected formation energy: -0.223 eV/atom

a b c (Å): 9.0615 8.0386 6.5537
angles (deg): 76.02 59.41 44.57
Last column: nearest neighbours and their distance in Å.
Element x y z (fractional)
1 Ca 0.0687 0.0687 0.6813  4 As 2.91-3.07, 4 Si 3.08-3.17
2 Ca 0.3187 0.3187 0.9313  4 As 2.91-3.07, 4 Si 3.08-3.17
3 Ca 0.6813 0.6813 0.0687  4 As 2.91-3.07, 4 Si 3.08-3.17
4 Ca 0.9313 0.9313 0.3187  4 As 2.91-3.07, 4 Si 3.08-3.17
5 Si 0.0000 0.5000 0.5000  2 As 2.66
6 Si 0.5000 0.0000 0.5000  2 As 2.66
7 Si 0.5000 0.5000 0.0000  2 As 2.66
8 Si 0.5000 0.5000 0.5000  2 As 2.66
9 As 0.0536 0.6964 0.6964  1 As 2.55, 2 Si 2.66
10 As 0.3036 0.9464 0.9464  1 As 2.55, 2 Si 2.66
11 As 0.6964 0.0536 0.0536  1 As 2.55, 2 Si 2.66
12 As 0.9464 0.3036 0.3036  1 As 2.55, 2 Si 2.66


DFT (PBE) results for a relaxed structure of TlBi2Pb4.

Calculated values
Calculated volume: 492 Å³ per cell
Calculated formation energy: 0.05 eV/atom

a b c (Å): 4.9625 20.4392 4.8482
angles (deg): 90.00 90.00 90.00
Last column: nearest neighbours and their distance in Å.
Element x y z (fractional)
1 Tl 0.0000 0.0000 0.0000  8 Bi 3.81
2 Tl 0.5000 0.5000 0.0000  8 Bi 3.81
3 Bi 0.0000 0.4224 0.5000  1 Bi 3.17, 4 Pb 3.24-3.33
4 Bi 0.0000 0.5776 0.5000  1 Bi 3.17, 4 Pb 3.24-3.33
5 Bi 0.5000 0.0776 0.5000  1 Bi 3.17, 4 Pb 3.24-3.33
6 Bi 0.5000 0.9224 0.5000  1 Bi 3.17, 4 Pb 3.24-3.33
7 Pb 0.0000 0.1798 0.5000  2 Bi 3.24, 6 Pb 3.47-3.61
8 Pb 0.0000 0.3105 0.0000  2 Bi 3.33, 8 Pb 3.47-3.61
9 Pb 0.0000 0.6895 0.0000  2 Bi 3.33, 8 Pb 3.47-3.61
10 Pb 0.0000 0.8202 0.5000  2 Bi 3.24, 6 Pb 3.47-3.61
11 Pb 0.5000 0.1895 0.0000  2 Bi 3.33, 8 Pb 3.47-3.61
12 Pb 0.5000 0.3202 0.5000  2 Bi 3.24, 6 Pb 3.47-3.61
13 Pb 0.5000 0.6798 0.5000  2 Bi 3.24, 6 Pb 3.47-3.61
14 Pb 0.5000 0.8105 0.0000  2 Bi 3.33, 8 Pb 3.47-3.61


DFT (PBE) results for a relaxed structure of TaPb3Se.

Calculated values
Calculated volume: 173 Å³ per cell
Uncorrected formation energy: 1.209 eV/atom

a b c (Å): 5.5698 5.5698 5.5698
angles (deg): 90.00 90.00 90.00
Last column: nearest neighbours and their distance in Å.
Element x y z (fractional)
1 Ta 0.0000 0.0000 0.0000  12 Pb 3.94
2 Pb 0.0000 0.5000 0.5000  2 Se 2.78
3 Pb 0.5000 0.0000 0.5000  2 Se 2.78
4 Pb 0.5000 0.5000 0.0000  2 Se 2.78
5 Se 0.5000 0.5000 0.5000  6 Pb 2.78


DFT (PBE) results for a relaxed structure of HoV4Mo.

Calculated values
Calculated volume: 96 Å³ per cell
Calculated formation energy: 0.22 eV/atom

a b c (Å): 5.1409 5.1409 5.1409
angles (deg): 60.00 60.00 60.00
Last column: nearest neighbours and their distance in Å.
Element x y z (fractional)
1 Ho 0.0000 0.0000 0.0000  12 V 3.01, 4 Mo 3.15
2 V 0.3747 0.3747 0.3747  6 V 2.56-2.58
3 V 0.3747 0.3747 0.8759  6 V 2.56-2.58
4 V 0.3747 0.8759 0.3747  6 V 2.56-2.58
5 V 0.8759 0.3747 0.3747  6 V 2.56-2.58
6 Mo 0.7500 0.7500 0.7500  12 V 3.01, 4 Ho 3.15


DFT (PBE) results for a relaxed structure of Sc2TaRe.

Calculated values
Calculated volume: 240 Å³ per cell
Calculated formation energy: 0.13 eV/atom

a b c (Å): 3.1146 3.1146 28.5123
angles (deg): 90.00 90.00 120.00
Last column: nearest neighbours and their distance in Å.
Element x y z (fractional)
1 Sc 0.0000 0.0000 0.0000  3 Ta 3.03, 6 Sc 3.11
2 Sc 0.0000 0.0000 0.2295  3 Re 2.79, 6 Sc 3.11
3 Sc 0.3333 0.6667 0.6667  3 Ta 3.03, 6 Sc 3.11
4 Sc 0.3333 0.6667 0.8962  3 Re 2.79, 6 Sc 3.11
5 Sc 0.6667 0.3333 0.3333  3 Ta 3.03, 6 Sc 3.11
6 Sc 0.6667 0.3333 0.5629  3 Re 2.79, 6 Sc 3.11
7 Ta 0.0000 0.0000 0.7521  3 Re 2.68
8 Ta 0.3333 0.6667 0.4188  3 Re 2.68
9 Ta 0.6667 0.3333 0.0854  3 Re 2.68
10 Re 0.0000 0.0000 0.4882  3 Ta 2.68, 3 Sc 2.79
11 Re 0.3333 0.6667 0.1549  3 Ta 2.68, 3 Sc 2.79
12 Re 0.6667 0.3333 0.8216  3 Ta 2.68, 3 Sc 2.79


DFT (PBE) results for a relaxed structure of Y2Sc2Cu.

Calculated values
Calculated volume: 272 Å³ per cell
Calculated formation energy: 0.69 eV/atom

a b c (Å): 4.0975 4.0975 16.2151
angles (deg): 90.00 90.00 90.00
Last column: nearest neighbours and their distance in Å.
Element x y z (fractional)
1 Y 0.0000 0.5000 0.2500  4 Y 2.90
2 Y 0.0000 0.5000 0.7500  4 Y 2.90
3 Y 0.5000 0.0000 0.2500  4 Y 2.90
4 Y 0.5000 0.0000 0.7500  4 Y 2.90
5 Sc 0.0000 0.0000 0.0838  1 Sc 2.72
6 Sc 0.0000 0.0000 0.9162  1 Sc 2.72
7 Sc 0.5000 0.5000 0.4162  1 Sc 2.72
8 Sc 0.5000 0.5000 0.5838  1 Sc 2.72
9 Cu 0.0000 0.0000 0.5000  8 Sc 3.20
10 Cu 0.5000 0.5000 0.0000  8 Sc 3.20


DFT (PBE) results for a relaxed structure of Nd2ErZr.

Calculated values
Calculated volume: 364 Å³ per cell
Calculated formation energy: 0.13 eV/atom

a b c (Å): 3.5059 3.5059 34.2124
angles (deg): 90.00 90.00 120.00
Last column: nearest neighbours and their distance in Å.
Element x y z (fractional)
1 Nd 0.0000 0.0000 0.0000  3 Zr 3.39, 6 Nd 3.51, 3 Er 3.64
2 Nd 0.0000 0.0000 0.1751  3 Zr 3.37, 6 Nd 3.51, 3 Er 3.59
3 Nd 0.3333 0.6667 0.6667  3 Zr 3.39, 6 Nd 3.51, 3 Er 3.64
4 Nd 0.3333 0.6667 0.8417  3 Zr 3.37, 6 Nd 3.51, 3 Er 3.59
5 Nd 0.6667 0.3333 0.3333  3 Zr 3.39, 6 Nd 3.51, 3 Er 3.64
6 Nd 0.6667 0.3333 0.5084  3 Zr 3.37, 6 Nd 3.51, 3 Er 3.59
7 Er 0.0000 0.0000 0.7551  6 Er 3.51, 6 Nd 3.59-3.64
8 Er 0.3333 0.6667 0.4218  6 Er 3.51, 6 Nd 3.59-3.64
9 Er 0.6667 0.3333 0.0884  6 Er 3.51, 6 Nd 3.59-3.64
10 Zr 0.0000 0.0000 0.5870  6 Nd 3.37-3.39, 6 Zr 3.51
11 Zr 0.3333 0.6667 0.2537  6 Nd 3.37-3.39, 6 Zr 3.51
12 Zr 0.6667 0.3333 0.9204  6 Nd 3.37-3.39, 6 Zr 3.51


DFT (PBE) results for a relaxed structure of Ca4MgTl5.

Calculated values
Calculated volume: 284 Å³ per cell
Calculated formation energy: -0.36 eV/atom

a b c (Å): 3.8389 3.8389 19.2816
angles (deg): 90.00 90.00 90.00
Last column: nearest neighbours and their distance in Å.
Element x y z (fractional)
1 Ca 0.0000 0.0000 0.1026  8 Tl 3.35-3.36
2 Ca 0.0000 0.0000 0.3081  8 Tl 3.36-3.37, 1 Mg 3.70
3 Ca 0.0000 0.0000 0.6919  8 Tl 3.36-3.37, 1 Mg 3.70
4 Ca 0.0000 0.0000 0.8974  8 Tl 3.35-3.36
5 Mg 0.0000 0.0000 0.5000  8 Tl 3.21
6 Tl 0.5000 0.5000 0.0000  8 Ca 3.36
7 Tl 0.5000 0.5000 0.2045  8 Ca 3.35-3.37
8 Tl 0.5000 0.5000 0.4109  4 Mg 3.21, 4 Ca 3.36, 1 Tl 3.44
9 Tl 0.5000 0.5000 0.5891  4 Mg 3.21, 4 Ca 3.36, 1 Tl 3.44
10 Tl 0.5000 0.5000 0.7955  8 Ca 3.35-3.37


What did the second record say?
DFT (PBE) results for a relaxed structure of CeScPa.

Calculated values
Calculated volume: 152 Å³ per cell
Calculated formation energy: 0.08 eV/atom

a b c (Å): 3.1753 3.1753 15.0925
angles (deg): 90.00 90.00 90.00
Last column: nearest neighbours and their distance in Å.
Element x y z (fractional)
1 Ce 0.0000 0.0000 0.0000  4 Ce 3.18, 4 Pa 3.31, 4 Sc 3.53
2 Ce 0.5000 0.5000 0.5000  4 Ce 3.18, 4 Pa 3.31, 4 Sc 3.53
3 Sc 0.0000 0.0000 0.6807  4 Sc 3.18, 4 Pa 3.28, 4 Ce 3.53
4 Sc 0.5000 0.5000 0.1807  4 Sc 3.18, 4 Pa 3.28, 4 Ce 3.53
5 Pa 0.0000 0.0000 0.3387  4 Pa 3.18, 4 Sc 3.28, 4 Ce 3.31
6 Pa 0.5000 0.5000 0.8387  4 Pa 3.18, 4 Sc 3.28, 4 Ce 3.31